(1)
Entry from the Open Quantum Materials Database: an optimized crystal structure of PrGdNi2 (PBE).

## Properties
The value obtained for the formation energy is -0.36 eV/atom.

a = 4.385 Å, b = 5.463 Å, c = 5.463 Å
α = 40.70°, β = 90.00°, γ = 90.00°
Positions (direct):
Ni1 0.000 0.570 0.570
Ni2 0.500 0.426 0.426
Pr1 0.500 0.141 0.141
Gd1 0.000 0.863 0.863



(2)
Entry from the Open Quantum Materials Database: an optimized crystal structure of Ba2Pr (PBE).

## Properties
The calculation puts the total energy at -1.14 eV/atom.

a = 10.470 Å, b = 10.470 Å, c = 10.470 Å
α = 60.00°, β = 60.00°, γ = 60.00°
Each line ends with the local moment (μB).
Positions (direct):
Ba1 0.125 0.125 0.625  0.50
Ba2 0.625 0.125 0.125  0.57
Ba3 0.125 0.125 0.125  0.51
Ba4 0.125 0.625 0.125  0.51
Pr1 0.000 0.000 0.000  1.47
Pr2 0.250 0.250 0.250  1.47



(3)
Entry from the Open Quantum Materials Database: an optimized crystal structure of TcAsNO (PBE).

## Properties
The calculation puts the total energy at -6.95 eV/atom.

a = 3.835 Å, b = 3.835 Å, c = 9.078 Å
α = 90.00°, β = 90.00°, γ = 90.00°
Positions (direct):
N1 0.250 0.250 0.272
N2 0.750 0.750 0.728
As1 0.750 0.250 0.500
As2 0.250 0.750 0.500
Tc1 0.250 0.250 0.089
Tc2 0.750 0.750 0.911
O1 0.250 0.750 0.000
O2 0.750 0.250 0.000



(4)
Entry from the Open Quantum Materials Database: an optimized crystal structure of NpUCu (PBE).

## Properties
The value obtained for the formation energy is 0.56 eV/atom.

a = 4.275 Å, b = 4.275 Å, c = 4.275 Å
α = 60.00°, β = 60.00°, γ = 60.00°
Each line ends with the local moment (μB).
Positions (direct):
U1 0.750 0.750 0.750  0.37
Cu1 0.250 0.250 0.250  0.01
Np1 0.000 0.000 0.000  1.40



(5)
Entry from the Open Quantum Materials Database: an optimized crystal structure of RbHfTe3Au (PBE).

## Properties
The calculation puts the total energy at -4.53 eV/atom.

a = 9.914 Å, b = 9.914 Å, c = 9.507 Å
α = 92.04°, β = 92.04°, γ = 23.68°
Positions (direct):
Te1 0.688 0.688 0.393
Te2 0.312 0.312 0.607
Te3 0.683 0.683 0.803
Te4 0.317 0.317 0.197
Te5 0.500 0.500 0.000
Te6 0.000 0.000 0.500
Rb1 0.866 0.866 0.896
Rb2 0.134 0.134 0.104
Au1 0.547 0.547 0.712
Au2 0.453 0.453 0.288
Hf1 0.152 0.152 0.595
Hf2 0.848 0.848 0.405



(6)
Entry from the Open Quantum Materials Database: an optimized crystal structure of NaNdPd4 (PBE).

## Properties
The calculation puts the total energy at -5.04 eV/atom.

a = 5.438 Å, b = 5.438 Å, c = 5.438 Å
α = 60.00°, β = 60.00°, γ = 60.00°
Positions (direct):
Pd1 0.625 0.625 0.125
Pd2 0.625 0.125 0.625
Pd3 0.125 0.625 0.625
Pd4 0.625 0.625 0.625
Na1 0.000 0.000 0.000
Nd1 0.250 0.250 0.250



(7)
Entry from the Open Quantum Materials Database: an optimized crystal structure of Gd2Dy2SiF5 (PBE).

## Properties
The calculation puts the total energy at -5.92 eV/atom.

a = 7.907 Å, b = 7.907 Å, c = 7.433 Å
α = 112.28°, β = 112.28°, γ = 26.04°
Positions (direct):
Si1 0.500 0.500 0.000
Gd1 0.010 0.010 0.741
Gd2 0.990 0.990 0.259
F1 0.500 0.500 0.500
F2 0.264 0.264 0.338
F3 0.736 0.736 0.662
F4 0.821 0.821 0.064
F5 0.179 0.179 0.936
Dy1 0.309 0.309 0.832
Dy2 0.691 0.691 0.168



(8)
Entry from the Open Quantum Materials Database: an optimized crystal structure of Cs2CoSe4 (PBE).

## Properties
The calculation puts the total energy at -3.84 eV/atom.

a = 8.547 Å, b = 8.547 Å, c = 10.274 Å
α = 116.64°, β = 116.64°, γ = 52.53°
Each line ends with the local moment (μB).
Positions (direct):
Cs1 0.843 0.843 0.210  0.01
Cs2 0.157 0.157 0.790  0.01
Cs3 0.407 0.407 0.638  0.01
Cs4 0.593 0.593 0.362  0.01
Se1 0.667 0.158 0.952  0.02
Se2 0.315 0.315 0.230  0.29
Se3 0.128 0.128 0.394  0.29
Se4 0.685 0.685 0.770  0.29
Se5 0.842 0.333 0.048  0.02
Se6 0.333 0.842 0.048  0.02
Se7 0.158 0.667 0.952  0.02
Se8 0.872 0.872 0.606  0.29
Co1 0.159 0.159 0.203  1.82
Co2 0.841 0.841 0.797  1.82



(9)
Entry from the Open Quantum Materials Database: an optimized crystal structure of HfInNiHg (PBE).

## Properties
The calculation puts the total energy at -4.56 eV/atom.

a = 4.725 Å, b = 4.725 Å, c = 4.725 Å
α = 60.00°, β = 60.00°, γ = 60.00°
Positions (direct):
Hf1 0.250 0.250 0.250
Ni1 0.750 0.750 0.750
Hg1 0.500 0.500 0.500
In1 0.000 0.000 0.000



(10)
Entry from the Open Quantum Materials Database: an optimized crystal structure of DyTm2Sn4Pd4 (PBE).

## Properties
The calculation puts the total energy at -5.37 eV/atom.

a = 8.477 Å, b = 8.477 Å, c = 8.477 Å
α = 150.21°, β = 128.15°, γ = 60.95°
Positions (direct):
Pd1 0.974 0.678 0.297
Pd2 0.381 0.678 0.703
Pd3 0.619 0.322 0.297
Pd4 0.026 0.322 0.703
Tm1 0.629 0.129 0.500
Tm2 0.371 0.871 0.500
Sn1 0.696 0.500 0.196
Sn2 0.786 0.786 0.000
Sn3 0.304 0.500 0.804
Sn4 0.214 0.214 0.000
Dy1 0.000 0.000 0.000



(11)
Entry from the Open Quantum Materials Database: an optimized crystal structure of Hf3TlB2 (PBE).

## Properties
The calculation puts the total energy at -8.00 eV/atom.

a = 3.409 Å, b = 3.409 Å, c = 20.947 Å
α = 90.00°, β = 90.00°, γ = 120.00°
Positions (direct):
B1 0.667 0.333 0.569
B2 0.667 0.333 0.931
B3 0.333 0.667 0.431
B4 0.333 0.667 0.069
Hf1 0.000 0.000 0.500
Hf2 0.667 0.333 0.128
Hf3 0.333 0.667 0.872
Hf4 0.333 0.667 0.628
Hf5 0.000 0.000 0.000
Hf6 0.667 0.333 0.372
Tl1 0.000 0.000 0.750
Tl2 0.000 0.000 0.250



(12)
Entry from the Open Quantum Materials Database: an optimized crystal structure of HfMgB4 (PBE).

## Properties
The calculation puts the total energy at -6.53 eV/atom.

a = 6.060 Å, b = 11.695 Å, c = 3.669 Å
α = 90.00°, β = 90.00°, γ = 90.00°
Positions (direct):
B1 0.816 0.688 0.500
B2 0.498 0.299 0.500
B3 0.887 0.948 0.500
B4 0.684 0.188 0.500
B5 0.875 0.529 0.500
B6 0.375 0.971 0.500
B7 0.502 0.701 0.500
B8 0.387 0.552 0.500
B9 0.625 0.029 0.500
B10 0.002 0.799 0.500
B11 0.613 0.448 0.500
B12 0.316 0.812 0.500
B13 0.113 0.052 0.500
B14 0.184 0.312 0.500
B15 0.125 0.471 0.500
B16 0.998 0.201 0.500
Mg1 0.863 0.347 0.000
Mg2 0.637 0.847 0.000
Mg3 0.363 0.153 0.000
Mg4 0.137 0.653 0.000
Hf1 0.852 0.090 0.000
Hf2 0.352 0.410 0.000
Hf3 0.648 0.590 0.000
Hf4 0.148 0.910 0.000



(13)
Entry from the Open Quantum Materials Database: an optimized crystal structure of AcReB (PBE).

## Properties
The calculation puts the total energy at -5.40 eV/atom.

a = 4.633 Å, b = 4.633 Å, c = 4.633 Å
α = 60.00°, β = 60.00°, γ = 60.00°
Positions (direct):
Ac1 0.000 0.000 0.000
Re1 0.750 0.750 0.750
B1 0.250 0.250 0.250



(14)
Entry from the Open Quantum Materials Database: an optimized crystal structure of ZrBi2B (PBE).

## Properties
The calculation puts the total energy at -4.84 eV/atom.

a = 5.086 Å, b = 5.086 Å, c = 5.086 Å
α = 60.00°, β = 60.00°, γ = 60.00°
Positions (direct):
Zr1 0.750 0.750 0.750
Bi1 0.000 0.000 0.000
Bi2 0.250 0.250 0.250
B1 0.500 0.500 0.500



(15)
Entry from the Open Quantum Materials Database: an optimized crystal structure of DyCuSnTeS2 (PBE).

## Properties
The calculation puts the total energy at -4.85 eV/atom.

a = 7.082 Å, b = 7.082 Å, c = 10.965 Å
α = 90.00°, β = 90.00°, γ = 147.22°
Positions (direct):
Dy1 0.000 0.000 0.000
Dy2 0.000 0.000 0.500
S1 0.375 0.625 0.077
S2 0.625 0.375 0.923
S3 0.625 0.375 0.577
S4 0.375 0.625 0.423
Cu1 0.526 0.474 0.750
Cu2 0.474 0.526 0.250
Te1 0.104 0.896 0.250
Te2 0.896 0.104 0.750
Sn1 0.795 0.206 0.250
Sn2 0.206 0.795 0.750



(16)
Entry from the Open Quantum Materials Database: an optimized crystal structure of HgI2O8 (PBE).

## Properties
The calculation puts the total energy at -3.88 eV/atom.

a = 5.889 Å, b = 6.025 Å, c = 6.025 Å
α = 60.01°, β = 90.00°, γ = 89.99°
Positions (direct):
I1 0.321 0.333 0.333
I2 0.679 0.667 0.667
Hg1 0.000 0.000 0.000
O1 0.226 0.227 0.654
O2 0.226 0.654 0.119
O3 0.623 0.333 0.333
O4 0.226 0.119 0.227
O5 0.774 0.346 0.881
O6 0.774 0.773 0.346
O7 0.774 0.881 0.773
O8 0.377 0.667 0.667



(17)
Entry from the Open Quantum Materials Database: an optimized crystal structure of GdDy2TmCd2 (PBE).

## Properties
The value obtained for the formation energy is -0.22 eV/atom.

a = 5.366 Å, b = 8.668 Å, c = 8.668 Å
α = 24.29°, β = 90.00°, γ = 90.00°
Positions (direct):
Tm1 0.500 0.224 0.224
Dy1 0.000 0.089 0.089
Dy2 0.500 0.911 0.911
Cd1 0.000 0.433 0.433
Cd2 0.500 0.569 0.569
Gd1 0.000 0.774 0.774



(18)
Entry from the Open Quantum Materials Database: an optimized crystal structure of SmGdTl (PBE).

## Properties
The calculation puts the total energy at -4.18 eV/atom.

a = 5.472 Å, b = 5.472 Å, c = 6.812 Å
α = 90.00°, β = 90.00°, γ = 120.00°
Each line ends with the local moment (μB).
Positions (direct):
Gd1 0.333 0.667 0.250  0.20
Gd2 0.667 0.333 0.750  0.20
Tl1 0.333 0.667 0.750  -0.01
Tl2 0.667 0.333 0.250  -0.01
Sm1 0.000 0.000 0.000  0.25
Sm2 0.000 0.000 0.500  0.24



(19)
Entry from the Open Quantum Materials Database: an optimized crystal structure of LiFeGeS3 (PBE).

## Properties
The calculation puts the total energy at -5.08 eV/atom.

a = 5.899 Å, b = 3.508 Å, c = 10.122 Å
α = 90.00°, β = 102.22°, γ = 90.00°
Each line ends with the local moment (μB).
Positions (direct):
S1 0.672 0.750 0.159  0.00
S2 0.235 0.750 0.555  0.01
S3 0.131 0.250 0.273  -0.02
S4 0.869 0.750 0.727  -0.02
S5 0.765 0.250 0.445  0.01
S6 0.328 0.250 0.841  0.00
Li1 0.446 0.750 0.349  0.00
Li2 0.554 0.250 0.651  0.00
Fe1 0.047 0.250 0.632  1.01
Fe2 0.953 0.750 0.368  1.01
Ge1 0.861 0.250 0.063  0.01
Ge2 0.139 0.750 0.937  0.01



(20)
Entry from the Open Quantum Materials Database: an optimized crystal structure of RbFeCuTeS2 (PBE).

## Properties
The calculation puts the total energy at -4.46 eV/atom.

a = 8.258 Å, b = 8.258 Å, c = 9.814 Å
α = 90.00°, β = 90.00°, γ = 155.28°
Each line ends with the local moment (μB).
Positions (direct):
Te1 0.422 0.578 0.750  -0.04
Te2 0.578 0.422 0.250  -0.04
S1 0.909 0.091 0.458  -0.01
S2 0.909 0.091 0.042  -0.01
S3 0.091 0.909 0.542  -0.01
S4 0.091 0.909 0.958  -0.01
Rb1 0.719 0.281 0.750  0.00
Rb2 0.281 0.719 0.250  0.00
Fe1 0.500 0.500 0.500  1.43
Fe2 0.500 0.500 0.000  1.43
Cu1 0.962 0.038 0.250  0.04
Cu2 0.038 0.962 0.750  0.04



(21)
Entry from the Open Quantum Materials Database: an optimized crystal structure of AsPtAuO (PBE).

## Properties
The calculation puts the total energy at -4.76 eV/atom.

a = 3.898 Å, b = 6.467 Å, c = 5.714 Å
α = 90.00°, β = 90.00°, γ = 90.00°
Positions (direct):
O1 0.500 0.332 0.920
O2 0.500 0.668 0.420
As1 0.000 0.265 0.406
As2 0.000 0.735 0.906
Au1 0.500 0.982 0.933
Au2 0.500 0.018 0.433
Pt1 0.000 0.639 0.496
Pt2 0.000 0.361 0.996



(22)
Entry from the Open Quantum Materials Database: an optimized crystal structure of Nd2NiAu (PBE).

## Properties
The value obtained for the formation energy is -0.55 eV/atom.

a = 4.599 Å, b = 5.656 Å, c = 7.361 Å
α = 90.00°, β = 90.00°, γ = 90.00°
Positions (direct):
Au1 0.000 0.615 0.965
Au2 0.000 0.385 0.465
Nd1 0.000 0.893 0.316
Nd2 0.500 0.385 0.183
Nd3 0.000 0.107 0.816
Nd4 0.500 0.615 0.683
Ni1 0.500 0.113 0.537
Ni2 0.500 0.887 0.037



(23)
Entry from the Open Quantum Materials Database: an optimized crystal structure of KLiHfS3 (PBE).

## Properties
The calculation puts the total energy at -5.73 eV/atom.

a = 7.233 Å, b = 7.233 Å, c = 9.918 Å
α = 90.00°, β = 90.00°, γ = 149.78°
Positions (direct):
S1 0.055 0.945 0.250
S2 0.621 0.379 0.545
S3 0.945 0.055 0.750
S4 0.379 0.621 0.455
S5 0.621 0.379 0.955
S6 0.379 0.621 0.045
Hf1 0.000 0.000 0.500
Hf2 0.000 0.000 0.000
Li1 0.541 0.459 0.750
Li2 0.459 0.541 0.250
K1 0.262 0.738 0.750
K2 0.738 0.262 0.250